(1)
VASP calculation (PBE) on a geometry-optimized DyTm6Mg12 structure.

a = 13.9973 Å, b = 13.9973 Å, c = 9.8819 Å
α = 90.00°, β = 90.00°, γ = 120.00°
Space group R-3m (No. 166, hexagonal axes)
Symmetry-distinct sites (fractional):
Dy  0.0000  0.0000  0.0000 [3 per cell]
Tm  0.0639  0.5319  0.2179 [18 per cell]
Mg  0.0000  0.3935  0.5000 [18 per cell]
Mg  0.0746  0.1493  0.2684 [18 per cell]

Properties
**Total magnetic moment**: 0.00 μB/f.u.
**Calculated formation energy**: 30.2 kJ per mole of atoms



(2)
VASP calculation (PBE) on a geometry-optimized Dy4Tm7Mg structure.

a = 5.8183 Å, b = 6.8388 Å, c = 9.8154 Å
α = 110.34°, β = 91.30°, γ = 90.15°
Space group P-1 (No. 2)
Symmetry-distinct sites (fractional):
Dy  0.2405  0.4036  0.2676 [2 per cell]
Dy  0.2521  0.8131  0.6314 [2 per cell]
Tm  0.2406  0.8644  0.2643 [2 per cell]
Tm  0.2510  0.4571  0.9153 [2 per cell]
Tm  0.2572  0.2785  0.5683 [2 per cell]
Tm  0.5000  0.0000  0.0000 [1 per cell]
Mg  0.0000  0.0000  0.0000 [1 per cell]

Properties
**Distance to the lowest polymorph of the same formula**: 1.07 eV/f.u.
**Total magnetic moment**: 0.00 μB/f.u.
**Calculated formation energy**: 10.9 kJ per mole of atoms



(3)
VASP calculation (PBE) on a geometry-optimized Dy3Tm5Mg2 structure.

a = 12.6049 Å, b = 15.8442 Å, c = 6.2292 Å
α = 90.00°, β = 90.00°, γ = 90.00°
Space group Ibam (No. 72)
Symmetry-distinct sites (fractional):
Dy  0.0000  0.0000  0.2500 [4 per cell]
Dy  0.0990  0.2519  0.0000 [8 per cell]
Tm  0.0000  0.5000  0.2500 [4 per cell]
Tm  0.1452  0.3405  0.5000 [8 per cell]
Tm  0.2503  0.0000  0.2500 [8 per cell]
Mg  0.1426  0.1516  0.5000 [8 per cell]

Properties
**Total magnetic moment**: 0.00 μB/f.u.
**Calculated formation energy**: 31.3 kJ per mole of atoms



(4)
VASP calculation (PBE) on a geometry-optimized Dy12Tm7Mg structure.

a = 11.8879 Å, b = 11.8879 Å, c = 11.8879 Å
α = 90.00°, β = 90.00°, γ = 90.00°
Space group Im-3 (No. 204)
Symmetry-distinct sites (fractional):
Dy  0.0000  0.2600  0.3553 [24 per cell]
Tm  0.0000  0.0000  0.5000 [6 per cell]
Tm  0.2500  0.2500  0.2500 [8 per cell]
Mg  0.0000  0.0000  0.0000 [2 per cell]

Properties
**Distance to the lowest polymorph of the same formula**: 13.21 eV/f.u.
**Total magnetic moment**: 0.00 μB/f.u.
**Calculated formation energy**: 79.9 kJ per mole of atoms



Q: calculated formation energy of number 3 (Dy3Tm5Mg2)?
A: 31.3 kJ per mole of atoms